(1)
DFT (GGA-PBE) results for a relaxed structure of SiTcBr2.

Calculated values
E_form (uncorrected): 0.272 eV/atom
electronic total energy: -4.511 eV per atom
calculated volume: 25.4 Å³/atom
relative energy among the computed polymorphs: 528 meV/atom
magnetization: 1.26 μB per cell

Lattice parameters (Å, degrees): 9.344 9.344 7.005 48.17 48.17 90.00
Fractional coordinates of all 8 atoms:
Si 0.500 0.500 0.000
Si 0.250 0.750 0.500
Tc 0.000 0.000 0.000
Tc 0.750 0.250 0.500
Br 0.770 0.125 0.250
Br 0.980 0.625 0.250
Br 0.375 0.230 0.750
Br 0.875 0.020 0.750

(2)
DFT (GGA-PBE) results for a relaxed structure of Si2TcBr.

Calculated values
E_form (uncorrected): 0.757 eV/atom
electronic total energy: -4.964 eV per atom
calculated volume: 15.8 Å³/atom
relative energy among the computed polymorphs: 746 meV/atom
magnetization: 0.00 μB per cell

Lattice parameters (Å, degrees): 4.839 4.839 4.839 130.86 130.86 72.04
Fractional coordinates of all 4 atoms:
Br 0.750 0.250 0.500
Si 0.000 0.000 0.000
Si 0.500 0.500 0.000
Tc 0.250 0.750 0.500

(3)
DFT (GGA-PBE) results for a relaxed structure of SiTc2Br.

Calculated values
E_form (uncorrected): 0.726 eV/atom
electronic total energy: -6.231 eV per atom
calculated volume: 16.0 Å³/atom
relative energy among the computed polymorphs: 594 meV/atom
magnetization: 0.42 μB per cell

Lattice parameters (Å, degrees): 2.936 5.228 4.168 90.00 90.00 90.00
Fractional coordinates of all 4 atoms:
Br 0.500 0.000 0.500
Si 0.000 0.500 0.500
Tc 0.000 0.000 0.000
Tc 0.500 0.500 0.000

(4)
DFT (GGA-PBE) results for a relaxed structure of SiTc2Br2.

Calculated values
E_form (uncorrected): 0.953 eV/atom
electronic total energy: -4.947 eV per atom
calculated volume: 20.3 Å³/atom
relative energy among the computed polymorphs: 623 meV/atom
magnetization: 0.00 μB per cell

Lattice parameters (Å, degrees): 4.209 4.209 6.446 70.95 70.95 90.00
Fractional coordinates of all 5 atoms:
Si 0.000 0.000 0.000
Tc 0.404 0.404 0.191
Tc 0.596 0.596 0.809
Br 0.750 0.250 0.500
Br 0.250 0.750 0.500

(5)
DFT (GGA-PBE) results for a relaxed structure of SiTcBr.

Calculated values
E_form (uncorrected): 0.548 eV/atom
electronic total energy: -5.272 eV per atom
calculated volume: 17.9 Å³/atom
relative energy among the computed polymorphs: 365 meV/atom
magnetization: 0.00 μB per cell

Lattice parameters (Å, degrees): 6.800 6.444 3.129 82.76 70.08 27.16
Fractional coordinates of all 3 atoms:
Br 0.005 0.005 0.995
Si 0.316 0.316 0.684
Tc 0.678 0.678 0.322

(6)
DFT (GGA-PBE) results for a relaxed structure of Si4TcBr.

Calculated values
E_form (uncorrected): 0.798 eV/atom
electronic total energy: -4.824 eV per atom
calculated volume: 16.0 Å³/atom
magnetization: 0.01 μB per cell

Lattice parameters (Å, degrees): 5.145 5.145 5.145 60.00 60.00 60.00
Fractional coordinates of all 6 atoms:
Si 0.877 0.374 0.374
Si 0.374 0.374 0.877
Si 0.374 0.877 0.374
Si 0.374 0.374 0.374
Tc 0.750 0.750 0.750
Br 0.000 0.000 0.000

(7)
DFT (GGA-PBE) results for a relaxed structure of SiTc2Br.

Calculated values
E_form (uncorrected): 0.982 eV/atom
electronic total energy: -5.975 eV per atom
calculated volume: 15.9 Å³/atom
relative energy among the computed polymorphs: 850 meV/atom
magnetization: 0.96 μB per cell

Lattice parameters (Å, degrees): 4.484 4.484 4.484 60.00 60.00 60.00
Fractional coordinates of all 4 atoms:
Br 0.500 0.500 0.500
Si 0.250 0.250 0.250
Tc 0.000 0.000 0.000
Tc 0.750 0.750 0.750

(8)
DFT (GGA-PBE) results for a relaxed structure of SiTc2Br.

Calculated values
E_form (uncorrected): 0.447 eV/atom
electronic total energy: -6.510 eV per atom
calculated volume: 14.6 Å³/atom
relative energy among the computed polymorphs: 315 meV/atom
magnetization: 0.00 μB per cell

Lattice parameters (Å, degrees): 4.384 4.384 3.030 90.00 90.00 90.00
Fractional coordinates of all 4 atoms:
Br 0.500 0.000 0.500
Si 0.000 0.500 0.500
Tc 0.000 0.000 0.000
Tc 0.500 0.500 0.000